(1)
Material: LiGdZnIn
Method: DFT, PBE
State: optimized geometry

Lattice parameters (Å, degrees): 4.996 4.996 4.996 60.00 60.00 60.00
Site moments in Bohr magnetons follow the coordinates.
Fractional positions:
Zn (0.000, 0.000, 0.000)  0.00
Gd (0.750, 0.750, 0.750)  7.01
Li (0.250, 0.250, 0.250)  -0.01
In (0.500, 0.500, 0.500)  -0.01

Formation enthalpy at 0 K, eV per atom: -0.3120
SG: No. 216
Size of the total moment, μB per cell: 7.09

(2)
Material: LaTb6S8
Method: DFT, PBE
State: optimized geometry

Lattice parameters (Å, degrees): 7.877 7.877 7.877 60.00 60.00 60.00
Fractional positions:
La (0.000, 0.000, 0.000)
Tb (0.000, 0.500, 0.500)
Tb (0.500, 0.000, 0.000)
Tb (0.500, 0.500, 0.000)
Tb (0.000, 0.000, 0.500)
Tb (0.000, 0.500, 0.000)
Tb (0.500, 0.000, 0.500)
S (0.750, 0.750, 0.750)
S (0.250, 0.250, 0.250)
S (0.741, 0.259, 0.259)
S (0.259, 0.741, 0.741)
S (0.259, 0.259, 0.741)
S (0.741, 0.741, 0.259)
S (0.741, 0.259, 0.741)
S (0.259, 0.741, 0.259)

SG: No. 225
Uncorrected formation energy, eV per atom: -2.042
Size of the total moment, μB per cell: 0.00

(3)
Material: Ca2OsRu
Method: DFT, PBE
State: optimized geometry

Lattice parameters (Å, degrees): 2.927 2.927 9.380 90.00 90.00 111.12
Fractional positions:
Ru (0.500, 0.500, 0.750)
Ca (0.000, 0.000, 0.997)
Ca (0.000, 0.000, 0.503)
Os (0.500, 0.500, 0.250)

Formation enthalpy at 0 K, eV per atom: 0.6451
SG: No. 65
Size of the total moment, μB per cell: 0.00
Excess energy over the best structure of this formula in the dataset, meV/atom: 408.7

(4)
Material: ScOs2Pb
Method: DFT, PBE
State: optimized geometry

Lattice parameters (Å, degrees): 9.430 9.430 9.430 18.68 18.68 18.68
Fractional positions:
Os (0.997, 0.997, 0.997)
Os (0.259, 0.259, 0.259)
Pb (0.505, 0.505, 0.505)
Sc (0.739, 0.739, 0.739)

Formation enthalpy at 0 K, eV per atom: 0.5227
SG: No. 160
Size of the total moment, μB per cell: 0.00

(5)
Material: La3P2Pt3
Method: DFT, PBE
State: optimized geometry

Lattice parameters (Å, degrees): 4.198 5.939 15.615 90.00 90.00 110.70
Fractional positions:
La (0.871, 0.743, 0.411)
La (0.129, 0.257, 0.911)
La (0.871, 0.743, 0.089)
La (0.129, 0.257, 0.589)
La (0.586, 0.173, 0.250)
La (0.414, 0.827, 0.750)
P (0.835, 0.669, 0.885)
P (0.165, 0.331, 0.385)
P (0.835, 0.669, 0.615)
P (0.165, 0.331, 0.115)
Pt (0.588, 0.176, 0.440)
Pt (0.412, 0.824, 0.940)
Pt (0.588, 0.176, 0.060)
Pt (0.412, 0.824, 0.560)
Pt (0.303, 0.606, 0.250)
Pt (0.697, 0.394, 0.750)

Formation enthalpy at 0 K, eV per atom: -1.2627
SG: No. 63
Size of the total moment, μB per cell: 0.00

(6)
Material: Sm2Sn9Pb
Method: DFT, PBE
State: optimized geometry

Lattice parameters (Å, degrees): 4.669 4.669 15.184 90.00 90.00 90.00
Fractional positions:
Sm (0.000, 0.000, 0.348)
Sm (0.000, 0.000, 0.652)
Sn (0.500, 0.500, 0.000)
Sn (0.500, 0.500, 0.334)
Sn (0.500, 0.500, 0.666)
Sn (0.500, 0.000, 0.173)
Sn (0.500, 0.000, 0.500)
Sn (0.500, 0.000, 0.827)
Sn (0.000, 0.500, 0.173)
Sn (0.000, 0.500, 0.500)
Sn (0.000, 0.500, 0.827)
Pb (0.000, 0.000, 0.000)

Formation enthalpy at 0 K, eV per atom: -0.2884
SG: No. 123
Size of the total moment, μB per cell: 0.00

(7)
Material: Ba4Li3H10
Method: DFT, PBE
State: optimized geometry

Lattice parameters (Å, degrees): 4.026 4.026 15.280 97.57 97.57 90.00
Site moments in Bohr magnetons follow the coordinates.
Fractional positions:
Ba (0.566, 0.566, 0.133)  0.01
Ba (0.434, 0.434, 0.867)  0.01
Ba (0.301, 0.301, 0.602)  0.16
Ba (0.699, 0.699, 0.398)  0.16
Li (0.133, 0.133, 0.265)  0.00
Li (0.867, 0.867, 0.735)  0.00
Li (0.000, 0.000, 0.000)  0.00
H (0.133, 0.633, 0.267)  0.00
H (0.067, 0.067, 0.133)  0.00
H (0.633, 0.133, 0.267)  0.00
H (0.867, 0.367, 0.733)  0.00
H (0.367, 0.867, 0.733)  0.00
H (0.933, 0.933, 0.867)  0.00
H (0.207, 0.207, 0.415)  -0.01
H (0.793, 0.793, 0.585)  -0.01
H (0.000, 0.500, 0.000)  0.00
H (0.500, 0.000, 0.000)  0.00

E_tot, eV/atom: -3.238
SG: No. 139
Size of the total moment, μB per cell: 0.99

(8)
Material: K2Na6SnHg
Method: DFT, PBE
State: optimized geometry

Lattice parameters (Å, degrees): 8.514 8.514 8.514 60.00 60.00 90.00
Fractional positions:
K (0.250, 0.750, 0.500)
K (0.750, 0.250, 0.500)
Na (0.252, 0.748, 0.000)
Na (0.748, 0.748, 0.000)
Na (0.252, 0.252, 0.496)
Na (0.748, 0.252, 0.000)
Na (0.252, 0.252, 0.000)
Na (0.748, 0.748, 0.504)
Sn (0.000, 0.000, 0.000)
Hg (0.500, 0.500, 0.000)

Formation enthalpy at 0 K, eV per atom: -0.0306
SG: No. 225
Size of the total moment, μB per cell: 0.01

(9)
Material: PrHo4Sc3
Method: DFT, PBE
State: optimized geometry

Lattice parameters (Å, degrees): 3.317 8.591 8.591 81.76 78.88 78.87
Fractional positions:
Pr (0.500, 0.000, 0.000)
Sc (0.758, 0.242, 0.242)
Sc (0.242, 0.758, 0.758)
Sc (0.000, 0.500, 0.500)
Ho (0.633, 0.122, 0.612)
Ho (0.367, 0.878, 0.388)
Ho (0.367, 0.388, 0.878)
Ho (0.633, 0.612, 0.122)

Formation enthalpy at 0 K, eV per atom: 0.1823
SG: No. 71
Size of the total moment, μB per cell: 0.00
Excess energy over the best structure of this formula in the dataset, meV/atom: 150.1

(10)
Material: PaAlH8Os2
Method: DFT, PBE
State: optimized geometry

Lattice parameters (Å, degrees): 4.289 4.461 6.367 67.57 70.32 61.27
Site moments in Bohr magnetons follow the coordinates.
Fractional positions:
Pa (0.500, 0.500, 0.500)  0.70
Al (0.000, 0.000, 0.000)  0.01
H (0.935, 0.456, 0.674)  0.00
H (0.696, 0.473, 0.135)  0.00
H (0.065, 0.544, 0.326)  0.00
H (0.304, 0.527, 0.865)  0.00
H (0.592, 0.032, 0.322)  0.00
H (0.408, 0.968, 0.678)  0.00
H (0.053, 0.032, 0.322)  0.00
H (0.947, 0.968, 0.678)  0.00
Os (0.294, 0.274, 0.137)  0.04
Os (0.706, 0.726, 0.863)  0.04

E_tot, eV/atom: -5.323
SG: No. 12
Size of the total moment, μB per cell: 0.88

(11)
Material: Nd3Ni2Pt7
Method: DFT, PBE
State: optimized geometry

Lattice parameters (Å, degrees): 5.454 5.454 9.168 72.70 72.70 60.00
Site moments in Bohr magnetons follow the coordinates.
Fractional positions:
Nd (0.000, 0.000, 0.000)  0.00
Nd (0.861, 0.861, 0.417)  0.00
Nd (0.139, 0.139, 0.583)  0.00
Ni (0.667, 0.667, 0.999)  0.07
Ni (0.333, 0.333, 0.001)  0.07
Pt (0.500, 0.500, 0.500)  0.00
Pt (0.924, 0.419, 0.239)  0.01
Pt (0.419, 0.924, 0.239)  0.01
Pt (0.419, 0.419, 0.239)  0.01
Pt (0.076, 0.581, 0.761)  0.01
Pt (0.581, 0.581, 0.761)  0.01
Pt (0.581, 0.076, 0.761)  0.01

Formation enthalpy at 0 K, eV per atom: -0.8512
SG: No. 166
Size of the total moment, μB per cell: 0.21

(12)
Material: Sn2PbN2
Method: DFT, PBE
State: optimized geometry

Lattice parameters (Å, degrees): 3.953 3.953 7.188 74.04 74.04 90.00
Fractional positions:
Pb (0.000, 0.000, 0.000)
Sn (0.323, 0.323, 0.353)
Sn (0.677, 0.677, 0.647)
N (0.750, 0.250, 0.500)
N (0.250, 0.750, 0.500)

SG: No. 139
Uncorrected formation energy, eV per atom: 0.517
Size of the total moment, μB per cell: 0.00
Excess energy over the best structure of this formula in the dataset, meV/atom: 336.5

(13)
Material: Li2SmAu2
Method: DFT, PBE
State: optimized geometry

Lattice parameters (Å, degrees): 3.916 3.916 7.197 105.79 105.79 90.00
Fractional positions:
Li (0.750, 0.250, 0.500)
Li (0.250, 0.750, 0.500)
Sm (0.000, 0.000, 0.000)
Au (0.609, 0.609, 0.219)
Au (0.391, 0.391, 0.781)

Formation enthalpy at 0 K, eV per atom: -0.6094
SG: No. 139
Size of the total moment, μB per cell: 0.00

(14)
Material: Ac2NdHoSe5
Method: DFT, PBE
State: optimized geometry

Lattice parameters (Å, degrees): 4.233 9.206 14.244 90.00 90.00 103.29
Fractional positions:
Ac (0.862, 0.725, 0.803)
Ac (0.087, 0.174, 0.644)
Ac (0.138, 0.275, 0.303)
Ac (0.913, 0.826, 0.144)
Nd (0.548, 0.097, 0.950)
Nd (0.452, 0.903, 0.450)
Ho (0.774, 0.548, 0.530)
Ho (0.226, 0.452, 0.030)
Se (0.380, 0.761, 0.982)
Se (0.704, 0.407, 0.895)
Se (0.495, 0.990, 0.762)
Se (0.260, 0.521, 0.675)
Se (0.923, 0.847, 0.583)
Se (0.620, 0.239, 0.482)
Se (0.296, 0.593, 0.395)
Se (0.505, 0.010, 0.262)
Se (0.740, 0.479, 0.175)
Se (0.077, 0.153, 0.083)

SG: No. 36
Uncorrected formation energy, eV per atom: -1.818
Size of the total moment, μB per cell: 0.00

(15)
Material: ZrScV2Sn
Method: DFT, PBE
State: optimized geometry

Lattice parameters (Å, degrees): 4.451 5.226 4.451 90.00 90.00 90.00
Site moments in Bohr magnetons follow the coordinates.
Fractional positions:
Sc (0.000, 0.000, 0.000)  0.06
Sn (0.500, 0.500, 0.500)  -0.01
Zr (0.000, 0.500, 0.000)  0.01
V (0.000, 0.000, 0.500)  0.14
V (0.500, 0.000, 0.000)  0.25

Formation enthalpy at 0 K, eV per atom: 1.1968
SG: No. 123
Size of the total moment, μB per cell: 0.50

| no. | theoretical density (Mg/m³) | volume (Å³/cell) |
| --- | --- | --- |
| 1 | 6.49 | 88.2 |
| 2 | 6.48 | 345.6 |
| 3 | 8.23 | 74.9 |
| 4 | 13.98 | 75.1 |
| 5 | 9.70 | 364.2 |
| 6 | 7.91 | 330.9 |
| 7 | 3.96 | 243.3 |
| 8 | 2.04 | 436.5 |
| 9 | 6.63 | 234.3 |
| 10 | 11.07 | 97.0 |
| 11 | 14.34 | 221.8 |
| 12 | 7.58 | 103.5 |
| 13 | 9.10 | 101.9 |
| 14 | 7.12 | 540.2 |
| 15 | 5.72 | 103.5 |